# 1
The following is a PBE-GGA calculation of an optimized crystal structure of Nd3Sm3Dy, from Alexandria via LeMat-Bulk.

Summary:
Total moment (μB/cell): 0.0
Energy above the most stable polymorph in this dataset (kJ per mole of atoms): 0.00
Energy of formation from the pure elements (eV/atom): 0.23

a = 8.956 Å, b = 8.956 Å, c = 8.956 Å
α = 58.75°, β = 58.75°, γ = 58.75°
Fractional coordinates of all 14 atoms:
Nd: 0.705 0.181 0.938
Nd: 0.938 0.705 0.181
Nd: 0.062 0.295 0.819
Nd: 0.819 0.062 0.295
Nd: 0.295 0.819 0.062
Nd: 0.181 0.938 0.705
Sm: 0.278 0.432 0.932
Sm: 0.068 0.722 0.568
Sm: 0.932 0.278 0.432
Sm: 0.568 0.068 0.722
Sm: 0.722 0.568 0.068
Sm: 0.432 0.932 0.278
Dy: 0.346 0.346 0.346
Dy: 0.654 0.654 0.654

# 2
The following is a PBE-GGA calculation of an optimized crystal structure of Er12AlCd3, from Alexandria via LeMat-Bulk.

Summary:
Total moment (μB/cell): 0.0
Energy of formation from the pure elements (eV/atom): -0.11

a = 4.784 Å, b = 4.784 Å, c = 19.139 Å
α = 90.00°, β = 90.00°, γ = 90.00°
Fractional coordinates of all 16 atoms:
Er: 0.500 0.500 0.752
Er: 0.500 0.000 0.374
Er: 0.500 0.500 0.500
Er: 0.500 0.000 0.626
Er: 0.000 0.500 0.121
Er: 0.500 0.000 0.879
Er: 0.000 0.500 0.374
Er: 0.500 0.500 0.248
Er: 0.000 0.500 0.879
Er: 0.000 0.500 0.626
Er: 0.500 0.000 0.121
Er: 0.500 0.500 0.000
Cd: 0.000 0.000 0.248
Cd: 0.000 0.000 0.752
Cd: 0.000 0.000 0.500
Al: 0.000 0.000 0.000

# 3
The following is a PBE-GGA calculation of an optimized crystal structure of Ag2HgSb2, from Alexandria via LeMat-Bulk.

Summary:
Total moment (μB/cell): 0.0
Formation energy without anion corrections (eV/atom): 0.18
Energy above the most stable polymorph in this dataset (kJ per mole of atoms): 5.08

a = 4.552 Å, b = 4.552 Å, c = 7.075 Å
α = 71.23°, β = 71.23°, γ = 90.00°
Fractional coordinates of all 5 atoms:
Hg: 0.000 0.000 0.000
Ag: 0.750 0.250 0.500
Ag: 0.250 0.750 0.500
Sb: 0.616 0.616 0.768
Sb: 0.384 0.384 0.232

# 4
The following is a PBE-GGA calculation of an optimized crystal structure of GaGeI, from Alexandria via LeMat-Bulk.

Summary:
Total moment (μB/cell): 0.0
Formation energy without anion corrections (eV/atom): -0.08
Energy above the most stable polymorph in this dataset (kJ per mole of atoms): 15.69

a = 4.359 Å, b = 4.359 Å, c = 5.953 Å
α = 72.19°, β = 88.72°, γ = 60.30°
Fractional coordinates of all 3 atoms:
Ge: 0.823 0.206 0.543
Ga: 0.144 0.563 0.500
I: 0.997 0.107 0.021

# 5
The following is a PBE-GGA calculation of an optimized crystal structure of TiCr2S4, from Alexandria via LeMat-Bulk.

Summary:
Total moment (μB/cell): 31.8
Formation energy without anion corrections (eV/atom): -0.86
Energy above the most stable polymorph in this dataset (kJ per mole of atoms): 6.29

a = 7.172 Å, b = 7.172 Å, c = 10.150 Å
α = 90.00°, β = 90.00°, γ = 90.00°
Site moments in Bohr magnetons follow the coordinates.
Fractional coordinates of all 28 atoms:
Cr: 0.500 0.756 0.500  3.12
Cr: 0.500 0.244 0.000  3.12
Cr: 0.262 0.262 0.375  3.48
Cr: 0.756 0.500 0.250  3.12
Cr: 0.738 0.738 0.875  3.48
Cr: 0.244 0.500 0.750  3.12
Cr: 0.262 0.738 0.125  3.48
Cr: 0.738 0.262 0.625  3.48
S: 0.524 0.251 0.239  -0.11
S: 0.747 0.992 0.494  -0.09
S: 0.992 0.747 0.256  -0.09
S: 0.749 0.476 0.011  -0.11
S: 0.749 0.524 0.489  -0.11
S: 0.476 0.749 0.739  -0.11
S: 0.253 0.008 0.994  -0.09
S: 0.251 0.524 0.511  -0.11
S: 0.008 0.747 0.744  -0.09
S: 0.524 0.749 0.261  -0.11
S: 0.476 0.251 0.761  -0.11
S: 0.992 0.253 0.244  -0.09
S: 0.008 0.253 0.756  -0.09
S: 0.253 0.992 0.506  -0.09
S: 0.251 0.476 0.989  -0.11
S: 0.747 0.008 0.006  -0.09
Ti: 0.762 0.000 0.250  0.81
Ti: 0.000 0.238 0.000  0.81
Ti: 0.000 0.762 0.500  0.81
Ti: 0.238 0.000 0.750  0.81

# 6
The following is a PBE-GGA calculation of an optimized crystal structure of P2IrPb, from Alexandria via LeMat-Bulk.

Summary:
Total moment (μB/cell): 0.0
Energy of formation from the pure elements (eV/atom): 0.20

a = 7.038 Å, b = 7.038 Å, c = 7.038 Å
α = 29.21°, β = 29.21°, γ = 29.21°
Fractional coordinates of all 4 atoms:
P: 0.267 0.267 0.267
P: 0.004 0.004 0.004
Ir: 0.729 0.729 0.729
Pb: 0.500 0.500 0.500

Results for density: 7.041, 8.990, 8.393, 4.839, 3.563, 10.426 (in Mg/m³, following the order of the records).